# 1
First-principles (PBE) data for Na2OsBrCl after structural relaxation, as listed in Alexandria via LeMat-Bulk.

Values from the calculation:
- Electronic total energy: -3.320 eV per atom
- Magnetization: 0.6 μB per cell
- Calculated volume: 30.877 Å³ per atom

Cell and atoms, written as CIF:
```
data_Na2OsBrCl
_chemical_formula_sum 'Na2 Os1 Br1 Cl1'
_space_group_name_H-M_alt 'P 4/m m m'
_space_group_IT_number 123
_space_group_name_Hall '-P 4 2'
_cell_length_a 5.829
_cell_length_b 5.829
_cell_length_c 4.544
_cell_angle_alpha 90.00
_cell_angle_beta 90.00
_cell_angle_gamma 90.00
loop_
_atom_site_label
_atom_site_fract_x
_atom_site_fract_y
_atom_site_fract_z
Na1 0.000 0.500 0.000
Os1 0.000 0.000 0.000
Br1 0.000 0.000 0.500
Cl1 0.500 0.500 0.500
```

# 2
First-principles (PBE) data for GdAl4V after structural relaxation, as listed in Alexandria via LeMat-Bulk.

Values from the calculation:
- Formation energy from the elements: -1.23 eV/f.u.
- Magnetization: 25.3 μB per cell
- Calculated volume: 17.903 Å³ per atom

Cell and atoms, written as CIF:
```
data_GdAl4V
_chemical_formula_sum 'Gd4 Al16 V4'
_space_group_name_H-M_alt 'F -4 3 m'
_space_group_IT_number 216
_space_group_name_Hall 'F -4 2 3'
_cell_length_a 7.546
_cell_length_b 7.546
_cell_length_c 7.546
_cell_angle_alpha 90.00
_cell_angle_beta 90.00
_cell_angle_gamma 90.00
loop_
_atom_site_label
_atom_site_fract_x
_atom_site_fract_y
_atom_site_fract_z
Gd1 0.000 0.000 0.000
Al1 0.125 0.125 0.375
V1 0.250 0.250 0.750
```

- The lowest magnetization belongs to which entry?
  Na2OsBrCl

- The lowest calculated volume belongs to which entry?
  GdAl4V

- Which of these has the highest magnetization?
  GdAl4V

- What is the formula in the first record?
  Na2OsBrCl